This record from Alexandria describes a geometry-optimized Sr5In2Pt structure. The functional is PBE.

## Properties
space-group type: Pbam
uncorrected energy: -2.95 eV/atom
formation energy from the elements: -3.7 eV/f.u.

Unit cell a=9.5350 b=14.0678 c=4.5398 alpha=90.00 beta=90.00 gamma=90.00
Last column: nearest neighbours and their distance in Å.
Atoms (fractional coordinates):
Sr 0.0000 0.0000 0.0000  4 In 3.40
Sr 0.1549 0.3115 0.0000  1 Pt 3.04
Sr 0.1751 0.5804 0.5000  2 Pt 3.04
Sr 0.3249 0.0804 0.5000  2 Pt 3.04
Sr 0.3451 0.8115 0.0000  1 Pt 3.04
Sr 0.5000 0.5000 0.0000  4 In 3.40
Sr 0.6549 0.1885 0.0000  1 Pt 3.04
Sr 0.6751 0.9196 0.5000  2 Pt 3.04
Sr 0.8249 0.4196 0.5000  2 Pt 3.04
Sr 0.8451 0.6885 0.0000  1 Pt 3.04
In 0.0539 0.8233 0.5000  7 Sr 3.40-3.61
In 0.4461 0.3233 0.5000  7 Sr 3.40-3.61
In 0.5539 0.6767 0.5000  7 Sr 3.40-3.61
In 0.9461 0.1767 0.5000  7 Sr 3.40-3.61
Pt 0.0000 0.5000 0.0000  6 Sr 3.04
Pt 0.5000 0.0000 0.0000  6 Sr 3.04

=====

This record from Alexandria describes a geometry-optimized SrIn2Pt2 structure. The functional is PBE.

## Properties
space-group type: I4/mmm
uncorrected energy: -4.54 eV/atom
formation energy from the elements: -3.5 eV/f.u.

Unit cell a=6.7092 b=6.7092 c=6.7092 alpha=141.04 beta=141.04 gamma=56.27
Last column: nearest neighbours and their distance in Å.
Atoms (fractional coordinates):
Sr 0.0000 0.0000 0.0000  8 Pt 3.43, 8 In 3.71
In 0.2500 0.7500 0.5000  4 Pt 2.77
In 0.7500 0.2500 0.5000  4 Pt 2.77
Pt 0.3885 0.3885 0.0000  1 Pt 2.64, 4 In 2.77
Pt 0.6115 0.6115 0.0000  1 Pt 2.64, 4 In 2.77

=====

This record from Alexandria describes a geometry-optimized Sr2InPt2 structure. The functional is PBE.

## Properties
space-group type: Ibam
uncorrected energy: -4.30 eV/atom
formation energy from the elements: -3.3 eV/f.u.

Unit cell a=7.7214 b=7.7214 c=7.7214 alpha=120.03 beta=80.77 gamma=131.29
Last column: nearest neighbours and their distance in Å.
Atoms (fractional coordinates):
Sr 0.1477 0.1505 0.2983  5 Pt 3.02-3.33
Sr 0.3523 0.6505 0.0028  5 Pt 3.02-3.33
Sr 0.6477 0.3495 0.9972  5 Pt 3.02-3.33
Sr 0.8523 0.8495 0.7017  5 Pt 3.02-3.33
In 0.2500 0.7500 0.5000  4 Pt 2.75
In 0.7500 0.2500 0.5000  4 Pt 2.75
Pt 0.1028 0.7441 0.8470  2 In 2.75, 2 Sr 3.02-3.06
Pt 0.3972 0.2441 0.6413  2 In 2.75, 2 Sr 3.02-3.06
Pt 0.6028 0.7559 0.3587  2 In 2.75, 2 Sr 3.02-3.06
Pt 0.8972 0.2559 0.1530  2 In 2.75, 2 Sr 3.02-3.06

=====

This record from Alexandria describes a geometry-optimized Sr2InPt structure. The functional is PBE.

## Properties
space-group type: Cm
uncorrected energy: -3.54 eV/atom
formation energy from the elements: -2.0 eV/f.u.

Unit cell a=7.0725 b=7.0725 c=5.2149 alpha=111.58 beta=111.58 gamma=30.56
Last column: nearest neighbours and their distance in Å.
Atoms (fractional coordinates):
Sr 0.0000 0.0000 0.0000  2 Pt 3.27, 4 In 3.53-3.54, 2 Sr 3.64-3.65
Sr 0.2017 0.2017 0.7018  4 Pt 3.21, 2 In 3.45-3.46
In 0.3816 0.3816 0.3815  2 Pt 2.83
Pt 0.7132 0.7132 0.2130  2 In 2.83

=====

This record from Alexandria describes a geometry-optimized Sr2InPt2 structure. The functional is PBE.

## Properties
space-group type: I4/mmm
uncorrected energy: -4.09 eV/atom
formation energy from the elements: -2.3 eV/f.u.

Unit cell a=10.1082 b=10.1082 c=10.1082 alpha=158.25 beta=158.25 gamma=30.95
Last column: nearest neighbours and their distance in Å.
Atoms (fractional coordinates):
Sr 0.1241 0.1241 0.0000  4 Pt 3.11
Sr 0.8759 0.8759 0.0000  4 Pt 3.11
In 0.5000 0.5000 0.0000  8 Sr 3.62, 4 In 3.81
Pt 0.2500 0.7500 0.5000  4 Pt 2.70
Pt 0.7500 0.2500 0.5000  4 Pt 2.70

=====

This record from Alexandria describes a geometry-optimized SrIn3Pt3 structure. The functional is PBE.

## Properties
polymorph energy (0 for the lowest one): 80 meV per atom
space-group type: R-3
uncorrected energy: -4.50 eV/atom
formation energy from the elements: -3.4 eV/f.u.

Unit cell a=7.2997 b=7.2997 c=7.2997 alpha=72.91 beta=72.91 gamma=72.91
Last column: nearest neighbours and their distance in Å.
Atoms (fractional coordinates):
Sr 0.1719 0.1719 0.1719  6 Pt 3.20-3.34
Sr 0.8281 0.8281 0.8281  6 Pt 3.20-3.34
In 0.0939 0.6730 0.3567  4 Pt 2.66-2.79
In 0.3270 0.6433 0.9061  4 Pt 2.66-2.79
In 0.3567 0.0939 0.6730  4 Pt 2.66-2.79
In 0.6433 0.9061 0.3270  4 Pt 2.66-2.79
In 0.6730 0.3567 0.0939  4 Pt 2.66-2.79
In 0.9061 0.3270 0.6433  4 Pt 2.66-2.79
Pt 0.1712 0.4598 0.7210  4 In 2.66-2.79, 2 Pt 2.86
Pt 0.2790 0.8288 0.5402  4 In 2.66-2.79, 2 Pt 2.86
Pt 0.4598 0.7210 0.1712  4 In 2.66-2.79, 2 Pt 2.86
Pt 0.5402 0.2790 0.8288  4 In 2.66-2.79, 2 Pt 2.86
Pt 0.7210 0.1712 0.4598  4 In 2.66-2.79, 2 Pt 2.86
Pt 0.8288 0.5402 0.2790  4 In 2.66-2.79, 2 Pt 2.86

=====

This record from Alexandria describes a geometry-optimized SrIn2Pt2 structure. The functional is PBE.

## Properties
space-group type: I4/mmm
uncorrected energy: -4.44 eV/atom
formation energy from the elements: -2.9 eV/f.u.

Unit cell a=6.1040 b=6.1040 c=6.1040 alpha=132.01 beta=132.01 gamma=70.21
Last column: nearest neighbours and their distance in Å.
Atoms (fractional coordinates):
Sr 0.0000 0.0000 0.0000  8 Pt 3.52, 10 In 3.55-3.80
In 0.3553 0.3553 0.0000  4 Pt 2.70, 1 In 2.89
In 0.6447 0.6447 0.0000  4 Pt 2.70, 1 In 2.89
Pt 0.2500 0.7500 0.5000  4 In 2.70
Pt 0.7500 0.2500 0.5000  4 In 2.70

=====

This record from Alexandria describes a geometry-optimized Sr2InPt structure. The functional is PBE.

## Properties
space-group type: Pmmm
uncorrected energy: -3.61 eV/atom
formation energy from the elements: -2.3 eV/f.u.

Unit cell a=3.7012 b=3.7405 c=8.4865 alpha=90.00 beta=90.00 gamma=90.00
Last column: nearest neighbours and their distance in Å.
Atoms (fractional coordinates):
Sr 0.0000 0.0000 0.2116  4 Pt 3.19
Sr 0.0000 0.0000 0.7884  4 Pt 3.19
In 0.5000 0.5000 0.5000  8 Sr 3.59, 4 In 3.70-3.74
Pt 0.5000 0.5000 0.0000  8 Sr 3.19